(1)
DFT (PBE-GGA) results for a geometry-optimized NpBi2Au structure.

The structure in POSCAR format:
```
NpBi2Au
1.0
1.712 0.988 10.929
-1.712 0.988 10.929
0.000 -1.977 10.929
Np Bi Au
1 2 1
Cartesian
0.000 0.000 0.000
0.000 0.000 13.638
0.000 0.000 19.147
0.000 0.000 16.393
```

Calculated values
- Calculated volume: 110.96 Å³/f.u.
- VASP energy: -5.765 eV/atom
- Energy of formation from the pure elements: 0.23 eV/atom

(2)
DFT (PBE-GGA) results for a geometry-optimized NpBi2Au structure.

The structure in POSCAR format:
```
NpBi2Au
1.0
4.886 0.000 0.000
0.000 4.886 0.000
0.000 0.000 4.322
Np Bi Au
1 2 1
Cartesian
0.000 0.000 0.000
0.000 2.443 2.161
2.443 0.000 2.161
2.443 2.443 0.000
```

Calculated values
- Calculated volume: 103.17 Å³/f.u.
- VASP energy: -6.067 eV/atom
- Energy of formation from the pure elements: -0.07 eV/atom

(3)
DFT (PBE-GGA) results for a geometry-optimized Np4Bi8Au3 structure.

The structure in POSCAR format:
```
Np4Bi8Au3
1.0
4.618 0.000 0.000
0.000 4.618 0.000
0.000 0.000 19.385
Np Bi Au
4 8 3
Cartesian
0.000 2.309 2.208
0.000 2.309 11.993
2.309 0.000 7.392
2.309 0.000 17.177
0.000 0.000 4.765
0.000 0.000 14.620
0.000 2.309 7.707
0.000 2.309 17.652
2.309 0.000 1.733
2.309 0.000 11.677
2.309 2.309 4.782
2.309 2.309 14.603
0.000 0.000 0.000
0.000 0.000 9.692
2.309 2.309 9.692
```

Calculated values
- Calculated volume: 413.40 Å³/f.u.
- VASP energy: -6.253 eV/atom
- Energy of formation from the pure elements: -0.08 eV/atom

(4)
DFT (PBE-GGA) results for a geometry-optimized NpBiAu2 structure.

The structure in POSCAR format:
```
NpBiAu2
1.0
3.458 0.000 0.000
0.000 3.458 0.000
0.000 0.000 7.999
Np Bi Au
1 1 2
Cartesian
0.000 0.000 0.000
0.000 0.000 3.999
1.729 1.729 1.897
1.729 1.729 6.102
```

Calculated values
- Calculated volume: 95.66 Å³/f.u.
- VASP energy: -5.917 eV/atom
- Energy of formation from the pure elements: -0.07 eV/atom